(1)
Density functional theory data (PBE) for a geometry-optimized Na2LiHg3 structure.

## Properties
V (Å³/atom): 23.5
Total moment (μB per cell): 0.0

CIF file:
```
data_Na2LiHg3
_chemical_formula_sum 'Na2 Li1 Hg3'
_space_group_name_H-M_alt 'P 4/m m m'
_space_group_IT_number 123
_space_group_name_Hall '-P 4 2'
_cell_length_a 3.4343
_cell_length_b 3.4343
_cell_length_c 11.9783
_cell_angle_alpha 90.00
_cell_angle_beta 90.00
_cell_angle_gamma 90.00
loop_
_atom_site_label
_atom_site_type_symbol
_atom_site_fract_x
_atom_site_fract_y
_atom_site_fract_z
Na1 Na 0.0000 0.0000 0.1871
Li1 Li 0.0000 0.0000 0.5000
Hg1 Hg 0.5000 0.5000 0.0000
Hg2 Hg 0.5000 0.5000 0.3676
```

(2)
Density functional theory data (PBE) for a geometry-optimized Na2LiHg3 structure.

## Properties
V (Å³/atom): 24.2
Total moment (μB per cell): 0.0

CIF file:
```
data_Na2LiHg3
_chemical_formula_sum 'Na16 Li8 Hg24'
_space_group_name_H-M_alt 'F m m m'
_space_group_IT_number 69
_space_group_name_Hall '-F 2 2'
_cell_length_a 6.5759
_cell_length_b 10.0674
_cell_length_c 17.5517
_cell_angle_alpha 90.00
_cell_angle_beta 90.00
_cell_angle_gamma 90.00
loop_
_atom_site_label
_atom_site_type_symbol
_atom_site_fract_x
_atom_site_fract_y
_atom_site_fract_z
Na1 Na 0.2440 0.0000 0.0000
Na2 Na 0.2500 0.2500 0.2500
Li1 Li 0.0000 0.0000 0.3331
Hg1 Hg 0.0000 0.0000 0.1739
Hg2 Hg 0.0000 0.2389 0.4139
```

Energies relative to the most stable structure, in meV/atom: (1) 0; (2) 46.

(1)
Density functional theory data (PBE) for a geometry-optimized NaLi3Hg structure.

## Properties
V (Å³/atom): 27.5
Total moment (μB per cell): 0.0

CIF file:
```
data_NaLi3Hg
_chemical_formula_sum 'Na1 Li3 Hg1'
_space_group_name_H-M_alt 'P m -3 m'
_space_group_IT_number 221
_space_group_name_Hall '-P 4 2 3'
_cell_length_a 5.1606
_cell_length_b 5.1606
_cell_length_c 5.1606
_cell_angle_alpha 90.00
_cell_angle_beta 90.00
_cell_angle_gamma 90.00
loop_
_atom_site_label
_atom_site_type_symbol
_atom_site_fract_x
_atom_site_fract_y
_atom_site_fract_z
Na1 Na 0.0000 0.0000 0.0000
Li1 Li 0.0000 0.5000 0.5000
Hg1 Hg 0.5000 0.5000 0.5000
```

(2)
Density functional theory data (PBE) for a geometry-optimized NaLi3Hg structure.

## Properties
V (Å³/atom): 22.7
Total moment (μB per cell): 0.0

CIF file:
```
data_NaLi3Hg
_chemical_formula_sum 'Na4 Li12 Hg4'
_space_group_name_H-M_alt 'C m c m'
_space_group_IT_number 63
_space_group_name_Hall '-C 2c 2'
_cell_length_a 6.1761
_cell_length_b 13.9541
_cell_length_c 5.2580
_cell_angle_alpha 90.00
_cell_angle_beta 90.00
_cell_angle_gamma 90.00
loop_
_atom_site_label
_atom_site_type_symbol
_atom_site_fract_x
_atom_site_fract_y
_atom_site_fract_z
Na1 Na 0.0000 0.0917 0.2500
Li1 Li 0.0000 0.5000 0.0000
Li2 Li 0.2250 0.3219 0.2500
Hg1 Hg 0.0000 0.3302 0.7500
```

Energies relative to the most stable structure, in meV/atom: (1) 116; (2) 0.

(1)
Density functional theory data (PBE) for a geometry-optimized Na2LiHg7 structure.

## Properties
V (Å³/atom): 31.7
Total moment (μB per cell): 0.0

CIF file:
```
data_Na2LiHg7
_chemical_formula_sum 'Na8 Li4 Hg28'
_space_group_name_H-M_alt 'F m -3 m'
_space_group_IT_number 225
_space_group_name_Hall '-F 4 2 3'
_cell_length_a 10.8235
_cell_length_b 10.8235
_cell_length_c 10.8235
_cell_angle_alpha 90.00
_cell_angle_beta 90.00
_cell_angle_gamma 90.00
loop_
_atom_site_label
_atom_site_type_symbol
_atom_site_fract_x
_atom_site_fract_y
_atom_site_fract_z
Na1 Na 0.2500 0.2500 0.2500
Li1 Li 0.0000 0.0000 0.0000
Hg1 Hg 0.0000 0.0000 0.2343
Hg2 Hg 0.0000 0.0000 0.5000
```

(2)
Density functional theory data (PBE) for a geometry-optimized Na2LiHg7 structure.

## Properties
V (Å³/atom): 27.0
Total moment (μB per cell): 0.0

CIF file:
```
data_Na2LiHg7
_chemical_formula_sum 'Na2 Li1 Hg7'
_space_group_name_H-M_alt 'P 3 m 1'
_space_group_IT_number 156
_space_group_name_Hall 'P 3 -2"'
_cell_length_a 4.9256
_cell_length_b 4.9256
_cell_length_c 12.8687
_cell_angle_alpha 90.00
_cell_angle_beta 90.00
_cell_angle_gamma 120.00
loop_
_atom_site_label
_atom_site_type_symbol
_atom_site_fract_x
_atom_site_fract_y
_atom_site_fract_z
Na1 Na 0.0000 0.0000 0.0000
Na2 Na 0.3333 0.6667 0.6371
Li1 Li 0.6667 0.3333 0.2831
Hg1 Hg 0.0000 0.0000 0.2729
Hg2 Hg 0.0000 0.0000 0.7519
Hg3 Hg 0.3333 0.6667 0.1554
Hg4 Hg 0.3333 0.6667 0.3989
Hg5 Hg 0.3333 0.6667 0.8809
Hg6 Hg 0.6667 0.3333 0.0554
Hg7 Hg 0.6667 0.3333 0.5184
```

Energies relative to the most stable structure, in meV/atom: (1) 103; (2) 0.

(1)
Density functional theory data (PBE) for a geometry-optimized Na3LiHg4 structure.

## Properties
V (Å³/atom): 24.1
Total moment (μB per cell): 0.0

CIF file:
```
data_Na3LiHg4
_chemical_formula_sum 'Na3 Li1 Hg4'
_space_group_name_H-M_alt 'P 4/m m m'
_space_group_IT_number 123
_space_group_name_Hall '-P 4 2'
_cell_length_a 3.5845
_cell_length_b 3.5845
_cell_length_c 15.0066
_cell_angle_alpha 90.00
_cell_angle_beta 90.00
_cell_angle_gamma 90.00
loop_
_atom_site_label
_atom_site_type_symbol
_atom_site_fract_x
_atom_site_fract_y
_atom_site_fract_z
Na1 Na 0.0000 0.0000 0.0000
Na2 Na 0.0000 0.0000 0.2658
Li1 Li 0.0000 0.0000 0.5000
Hg1 Hg 0.5000 0.5000 0.1316
Hg2 Hg 0.5000 0.5000 0.3980
```

(2)
Density functional theory data (PBE) for a geometry-optimized Na3LiHg4 structure.

## Properties
V (Å³/atom): 26.1
Total moment (μB per cell): 0.0

CIF file:
```
data_Na3LiHg4
_chemical_formula_sum 'Na6 Li2 Hg8'
_space_group_name_H-M_alt 'I m m m'
_space_group_IT_number 71
_space_group_name_Hall '-I 2 2'
_cell_length_a 3.3485
_cell_length_b 6.5193
_cell_length_c 19.1375
_cell_angle_alpha 90.00
_cell_angle_beta 90.00
_cell_angle_gamma 90.00
loop_
_atom_site_label
_atom_site_type_symbol
_atom_site_fract_x
_atom_site_fract_y
_atom_site_fract_z
Na1 Na 0.0000 0.0000 0.0000
Na2 Na 0.0000 0.5000 0.2358
Li1 Li 0.0000 0.0000 0.5000
Hg1 Hg 0.0000 0.2535 0.3806
```

Energies relative to the most stable structure, in meV/atom: (1) 0; (2) 79.

(1)
Density functional theory data (PBE) for a geometry-optimized NaLi2Hg8 structure.

## Properties
V (Å³/atom): 24.3
Total moment (μB per cell): 0.0

CIF file:
```
data_NaLi2Hg8
_chemical_formula_sum 'Na2 Li4 Hg16'
_space_group_name_H-M_alt 'C 1 2/m 1'
_space_group_IT_number 12
_space_group_name_Hall '-C 2y'
_cell_length_a 9.0907
_cell_length_b 12.0690
_cell_length_c 4.9874
_cell_angle_alpha 90.00
_cell_angle_beta 102.24
_cell_angle_gamma 90.00
loop_
_atom_site_label
_atom_site_type_symbol
_atom_site_fract_x
_atom_site_fract_y
_atom_site_fract_z
Na1 Na 0.0000 0.0000 0.0000
Li1 Li 0.0000 0.3592 0.5000
Hg1 Hg 0.0000 0.2565 0.0000
Hg2 Hg 0.1539 0.5000 0.9062
Hg3 Hg 0.1821 0.1367 0.5731
```

(2)
Density functional theory data (PBE) for a geometry-optimized NaLi2Hg8 structure.

## Properties
V (Å³/atom): 23.3
Total moment (μB per cell): 0.0

CIF file:
```
data_NaLi2Hg8
_chemical_formula_sum 'Na2 Li4 Hg16'
_space_group_name_H-M_alt 'C 1 2/m 1'
_space_group_IT_number 12
_space_group_name_Hall '-C 2y'
_cell_length_a 16.2815
_cell_length_b 4.5124
_cell_length_c 7.4651
_cell_angle_alpha 90.00
_cell_angle_beta 111.15
_cell_angle_gamma 90.00
loop_
_atom_site_label
_atom_site_type_symbol
_atom_site_fract_x
_atom_site_fract_y
_atom_site_fract_z
Na1 Na 0.0000 0.0000 0.0000
Li1 Li 0.2208 0.5000 0.6623
Hg1 Hg 0.0375 0.5000 0.7281
Hg2 Hg 0.1096 0.0000 0.4684
Hg3 Hg 0.1558 0.5000 0.2246
Hg4 Hg 0.1767 0.0000 0.9208
```

Energies relative to the most stable structure, in meV/atom: (1) 14; (2) 0.

(1)
Density functional theory data (PBE) for a geometry-optimized Na2Li3Hg2 structure.

## Properties
V (Å³/atom): 24.1
Total moment (μB per cell): 0.0

CIF file:
```
data_Na2Li3Hg2
_chemical_formula_sum 'Na4 Li6 Hg4'
_space_group_name_H-M_alt 'C 1 2/m 1'
_space_group_IT_number 12
_space_group_name_Hall '-C 2y'
_cell_length_a 10.9455
_cell_length_b 4.4090
_cell_length_c 7.6293
_cell_angle_alpha 90.00
_cell_angle_beta 113.38
_cell_angle_gamma 90.00
loop_
_atom_site_label
_atom_site_type_symbol
_atom_site_fract_x
_atom_site_fract_y
_atom_site_fract_z
Na1 Na 0.1470 0.0000 0.2823
Li1 Li 0.0000 0.5000 0.5000
Li2 Li 0.1371 0.5000 0.9419
Hg1 Hg 0.1390 0.0000 0.7117
```

(2)
Density functional theory data (PBE) for a geometry-optimized Na2Li3Hg2 structure.

## Properties
V (Å³/atom): 22.0
Total moment (μB per cell): 0.0

CIF file:
```
data_Na2Li3Hg2
_chemical_formula_sum 'Na4 Li6 Hg4'
_space_group_name_H-M_alt 'C 1 2/m 1'
_space_group_IT_number 12
_space_group_name_Hall '-C 2y'
_cell_length_a 9.8822
_cell_length_b 4.1267
_cell_length_c 7.6117
_cell_angle_alpha 90.00
_cell_angle_beta 97.61
_cell_angle_gamma 90.00
loop_
_atom_site_label
_atom_site_type_symbol
_atom_site_fract_x
_atom_site_fract_y
_atom_site_fract_z
Na1 Na 0.1308 0.0000 0.4217
Li1 Li 0.0000 0.0000 0.0000
Li2 Li 0.2136 0.5000 0.1324
Hg1 Hg 0.0899 0.5000 0.7770
```

Energies relative to the most stable structure, in meV/atom: (1) 11; (2) 0.